The following is a DFT calculation (meta-GGA SCAN) of a PBEsol-optimized structure of LiPd2Au.

Lattice parameters (Å, degrees): 4.3763 4.3763 4.3763 60.00 60.00 60.00
Closest atoms and distances in Å follow each position.
Fractional positions:
Au: 0.5000 0.5000 0.5000  8 Pd 2.68
Pd: 0.2500 0.2500 0.2500  4 Au 2.68, 4 Li 2.68
Pd: 0.7500 0.7500 0.7500  4 Au 2.68, 4 Li 2.68
Li: 0.0000 0.0000 0.0000  8 Pd 2.68

Energy of formation from the pure elements = -299 meV/atom
Theoretical density = 11.677 g/cm3
SG = Fm-3m

The following is a DFT calculation (meta-GGA SCAN) of a PBEsol-optimized structure of Lu10Al4Ge11.

Lattice parameters (Å, degrees): 3.9873 5.4784 24.2644 83.77 85.29 68.66
Closest atoms and distances in Å follow each position.
Fractional positions:
Lu: 0.3461 0.3648 0.9431  8 Ge 2.89-2.99
Lu: 0.1292 0.1996 0.5419  6 Ge 2.92-2.95, 2 Al 3.12
Lu: 0.7380 0.7827 0.7414  6 Ge 2.93-2.95, 2 Al 3.11
Lu: 0.9096 0.0369 0.1439  6 Ge 2.91-2.97, 2 Al 3.14
Lu: 0.5201 0.6169 0.3430  6 Ge 2.92-2.95, 2 Al 3.12
Lu: 0.0904 0.9631 0.8561  6 Ge 2.91-2.97, 2 Al 3.14
Lu: 0.8708 0.8004 0.4581  6 Ge 2.92-2.95, 2 Al 3.12
Lu: 0.4799 0.3831 0.6570  6 Ge 2.92-2.95, 2 Al 3.12
Lu: 0.6539 0.6352 0.0569  8 Ge 2.89-2.99
Lu: 0.2620 0.2173 0.2586  6 Ge 2.93-2.95, 2 Al 3.11
Al: 0.5861 0.6254 0.2023  4 Ge 2.60
Al: 0.1955 0.2086 0.4004  4 Ge 2.60
Al: 0.8045 0.7914 0.5996  4 Ge 2.60
Al: 0.4139 0.3746 0.7977  4 Ge 2.60
Ge: 0.6337 0.7933 0.9394  3 Ge 2.52-2.74
Ge: 0.4157 0.6255 0.5431  1 Ge 2.54, 2 Al 2.60
Ge: 0.0265 0.2054 0.7416  1 Ge 2.52, 2 Al 2.60
Ge: 0.1942 0.4666 0.1449  1 Ge 2.52, 2 Al 2.60
Ge: 0.8063 0.0434 0.3441  1 Ge 2.52, 2 Al 2.60
Ge: 0.8058 0.5334 0.8551  1 Ge 2.52, 2 Al 2.60
Ge: 0.5843 0.3745 0.4569  1 Ge 2.54, 2 Al 2.60
Ge: 0.1937 0.9566 0.6559  1 Ge 2.52, 2 Al 2.60
Ge: 0.3663 0.2067 0.0606  3 Ge 2.52-2.74
Ge: 0.9735 0.7946 0.2584  1 Ge 2.52, 2 Al 2.60
Ge: 0.0000 0.0000 0.0000  4 Ge 2.74, 4 Lu 2.98

Energy of formation from the pure elements = -752 meV/atom
Theoretical density = 8.998 g/cm3
SG = C2/m

The following is a DFT calculation (meta-GGA SCAN) of a PBEsol-optimized structure of TaReAs2.

Lattice parameters (Å, degrees): 3.2577 3.2577 5.9181 90.00 90.00 90.00
Closest atoms and distances in Å follow each position.
Fractional positions:
Re: 0.0000 0.0000 0.4666  4 As 2.57
As: 0.0000 0.0000 0.9754  4 Ta 2.57
As: 0.5000 0.5000 0.2737  4 Re 2.57
Ta: 0.5000 0.5000 0.7842  4 As 2.57

ΔE to the lowest computed polymorph = 0.0 meV/atom
Energy of formation from the pure elements = -131 meV/atom
Theoretical density = 13.669 g/cm3
SG = P4mm

The following is a DFT calculation (meta-GGA SCAN) of a PBEsol-optimized structure of AlGaSn2Bi.

Lattice parameters (Å, degrees): 4.7927 5.2998 5.2998 90.00 90.00 90.00
Closest atoms and distances in Å follow each position.
Fractional positions:
Al: 0.5000 0.0000 0.0000  2 Ga 2.40
Bi: 0.5000 0.5000 0.5000  8 Sn 3.57, 4 Al 3.75
Ga: 0.0000 0.0000 0.0000  2 Al 2.40, 4 Sn 2.65
Sn: 0.0000 0.0000 0.5000  2 Ga 2.65
Sn: 0.0000 0.5000 0.0000  2 Ga 2.65

Energy of formation from the pure elements = 408 meV/atom
Theoretical density = 6.699 g/cm3
SG = P4/mmm

The following is a DFT calculation (meta-GGA SCAN) of a PBEsol-optimized structure of Sr2WO5.

Lattice parameters (Å, degrees): 5.5188 7.1870 10.9143 90.00 90.00 90.00
Closest atoms and distances in Å follow each position.
Fractional positions:
Sr: 0.7500 0.4801 0.7170  4 O 2.44-2.66
Sr: 0.7500 0.9801 0.7830  4 O 2.44-2.66
Sr: 0.2500 0.5199 0.2830  4 O 2.44-2.66
Sr: 0.2500 0.0199 0.2170  4 O 2.44-2.66
Sr: 0.7500 0.1799 0.4153  5 O 2.50-2.79
Sr: 0.7500 0.6799 0.0847  5 O 2.50-2.79
Sr: 0.2500 0.8201 0.5847  5 O 2.50-2.79
Sr: 0.2500 0.3201 0.9153  5 O 2.50-2.79
W: 0.7500 0.1871 0.0643  6 O 1.84-2.05
W: 0.7500 0.6871 0.4357  6 O 1.84-2.05
W: 0.2500 0.8129 0.9357  6 O 1.84-2.05
W: 0.2500 0.3129 0.5643  6 O 1.84-2.05
O: 0.5002 0.1588 0.6107  1 W 1.84
O: 0.9998 0.6588 0.8893  1 W 1.84
O: 0.0002 0.8412 0.3893  1 W 1.84
O: 0.4998 0.3412 0.1107  1 W 1.84
O: 0.4998 0.8412 0.3893  1 W 1.84
O: 0.0002 0.3412 0.1107  1 W 1.84
O: 0.9998 0.1588 0.6107  1 W 1.84
O: 0.5002 0.6588 0.8893  1 W 1.84
O: 0.5000 0.5000 0.5000  2 W 2.05
O: 0.0000 0.0000 0.0000  2 W 2.05
O: 0.0000 0.5000 0.5000  2 W 2.05
O: 0.5000 0.0000 0.0000  2 W 2.05
O: 0.7500 0.2742 0.8949  1 W 1.95
O: 0.7500 0.7742 0.6051  1 W 1.95
O: 0.2500 0.7258 0.1051  1 W 1.95
O: 0.2500 0.2258 0.3949  1 W 1.95
O: 0.7500 0.0392 0.2056  1 W 1.87
O: 0.7500 0.5392 0.2944  1 W 1.87
O: 0.2500 0.9608 0.7944  1 W 1.87
O: 0.2500 0.4608 0.7056  1 W 1.87

Formation energy without anion corrections = -2.9345 eV per atom
Theoretical density = 6.737 g/cm3
SG = Pnma

The following is a DFT calculation (meta-GGA SCAN) of a PBEsol-optimized structure of BaNa2P2.

Lattice parameters (Å, degrees): 4.5499 4.5499 6.7148 109.80 109.80 90.00
Closest atoms and distances in Å follow each position.
Fractional positions:
P: 0.4038 0.4038 0.8075  1 P 2.27
P: 0.5962 0.5962 0.1925  1 P 2.27
Ba: 0.0000 0.0000 0.0000  8 P 3.41, 8 Na 3.72
Na: 0.2500 0.7500 0.5000  4 P 2.91, 4 Na 3.22
Na: 0.7500 0.2500 0.5000  4 P 2.91, 4 Na 3.22

Energy of formation from the pure elements = -741 meV/atom
Theoretical density = 3.338 g/cm3
SG = I4/mmm